Run P
Here is a relaxed structure of Tb2Pm12Sm5 from Alexandria via LeMat-Bulk. Energies are from PBE-GGA.

## Properties
calculated volume	1310	Å³ per cell

abc: 15.9466 9.3216 8.8276
angles: 90.00 92.97 90.00
Last column: nearest neighbours and their distance in Å.
Space group C2/m (No. 12)
Symmetry-distinct sites (fractional):
Tb 0.0000 0.1701 0.0000  1 Tb 3.17, 6 Pm 3.38-3.50
Pm 0.0572 0.0000 0.3430  7 Pm 3.40-3.65, 2 Sm 3.41-3.74, 2 Tb 3.50
Pm 0.0729 0.5000 0.8796  3 Pm 3.23-3.48, 2 Tb 3.47, 2 Sm 3.49-3.54
Pm 0.1312 0.1966 0.6814  4 Sm 3.43-3.82, 5 Pm 3.48-3.67, 1 Tb 3.60
Pm 0.1479 0.3193 0.2390  4 Pm 3.37-3.73, 1 Tb 3.38, 2 Sm 3.56-3.64
Sm 0.0000 0.5000 0.5000  10 Pm 3.49-3.82, 2 Sm 3.72
Sm 0.2077 0.0000 0.0322  8 Pm 3.54-3.80, 1 Sm 3.61, 2 Tb 3.67
Sm 0.2321 0.5000 0.5675  7 Pm 3.41-3.67, 2 Sm 3.61-3.72

=====

Run Q
Here is a relaxed structure of Tb2Pm12Sm5 from Alexandria via LeMat-Bulk. Energies are from PBE-GGA.

## Properties
calculated volume	1310	Å³ per cell

abc: 18.6185 7.1822 10.5209
angles: 90.00 111.39 90.00
Last column: nearest neighbours and their distance in Å.
Space group C2/m (No. 12)
Symmetry-distinct sites (fractional):
Tb 0.0000 0.2226 0.0000  2 Pm 3.15, 1 Tb 3.20
Pm 0.0011 0.0000 0.3227  7 Pm 3.45-3.75, 2 Tb 3.75, 1 Sm 3.84
Pm 0.0252 0.5000 0.2443  1 Sm 2.89, 2 Tb 3.15
Pm 0.1600 0.2526 0.8684  6 Pm 3.45-3.68, 2 Sm 3.60-3.65, 1 Tb 3.72
Pm 0.1662 0.2485 0.5227  6 Pm 3.32-3.68, 1 Sm 3.52
Sm 0.0000 0.5000 0.5000  2 Pm 2.89
Sm 0.1751 0.0000 0.2089  2 Tb 3.58, 2 Sm 3.61, 9 Pm 3.73-3.93
Sm 0.1862 0.5000 0.1851  5 Pm 3.28-3.65, 2 Sm 3.61

=====

Relative to the most stable one, in kJ/mol of atoms, the structures come out at run P 0.0; run Q 4.9.

=====

Run P
Here is a relaxed structure of TbPm4Sm6 from Alexandria via LeMat-Bulk. Energies are from PBE-GGA.

## Properties
calculated volume	772	Å³ per cell

abc: 6.6907 6.6907 17.2383
angles: 90.00 90.00 90.00
Last column: nearest neighbours and their distance in Å.
Space group I-42m (No. 121)
Symmetry-distinct sites (fractional):
Tb 0.0000 0.0000 0.0000  4 Sm 3.35, 4 Pm 3.53
Pm 0.1891 0.1891 0.8236  5 Sm 3.39-3.64, 1 Tb 3.53, 1 Pm 3.58
Sm 0.0000 0.5000 0.0000  4 Sm 3.30, 2 Tb 3.35
Sm 0.1773 0.1773 0.6271  3 Sm 3.30-3.36, 5 Pm 3.39-3.64

=====

Run Q
Here is a relaxed structure of TbPm4Sm6 from Alexandria via LeMat-Bulk. Energies are from PBE-GGA.

## Properties
calculated volume	787	Å³ per cell

abc: 7.6292 7.6292 13.5204
angles: 90.00 90.00 90.00
Last column: nearest neighbours and their distance in Å.
Space group I-42m (No. 121)
Symmetry-distinct sites (fractional):
Tb 0.0000 0.0000 0.0000  8 Sm 3.53-3.81, 4 Pm 3.70
Pm 0.1719 0.1719 0.4209  3 Sm 3.02-3.22
Sm 0.0000 0.5000 0.0000  4 Pm 3.02
Sm 0.2287 0.2287 0.1870  1 Pm 3.22, 1 Tb 3.53

=====

Relative to the most stable one, in kJ/mol of atoms, the structures come out at run P 0.0; run Q 9.5.

=====

Run P
Here is a relaxed structure of Tb2PmSm from Alexandria via LeMat-Bulk. Energies are from PBE-GGA.

## Properties
calculated volume	267	Å³ per cell

abc: 3.6523 11.5623 6.3189
angles: 90.00 90.00 90.00
Last column: nearest neighbours and their distance in Å.
Space group Imm2 (No. 44)
Symmetry-distinct sites (fractional):
Tb 0.0000 0.2497 0.0000  3 Pm 3.57-3.58, 3 Sm 3.57-3.58, 6 Tb 3.65
Pm 0.0000 0.0000 0.3317  6 Tb 3.57-3.58, 4 Sm 3.65, 2 Pm 3.65
Sm 0.0000 0.5000 0.3312  6 Tb 3.57-3.58, 4 Pm 3.65, 2 Sm 3.65

=====

Run Q
Here is a relaxed structure of Tb2PmSm from Alexandria via LeMat-Bulk. Energies are from PBE-GGA.

## Properties
calculated volume	397	Å³ per cell

abc: 3.6169 3.6169 35.0093
angles: 90.00 90.00 120.00
Last column: nearest neighbours and their distance in Å.
Space group R3m (No. 160, hexagonal axes)
Symmetry-distinct sites (fractional):
Tb 0.0000 0.0000 0.0000  3 Sm 3.57, 3 Pm 3.61, 6 Tb 3.62
Tb 0.0000 0.0000 0.1674  3 Sm 3.58, 3 Pm 3.58, 6 Tb 3.62
Pm 0.0000 0.0000 0.4176  6 Tb 3.58-3.61, 6 Pm 3.62
Sm 0.0000 0.0000 0.5838  6 Tb 3.57-3.58, 6 Sm 3.62

=====

Run R
Here is a relaxed structure of Tb2PmSm from Alexandria via LeMat-Bulk. Energies are from PBE-GGA.

## Properties
calculated volume	265	Å³ per cell

abc: 5.6093 3.5596 13.2627
angles: 90.00 90.00 90.00
Last column: nearest neighbours and their distance in Å.
Space group Amm2 (No. 38)
Symmetry-distinct sites (fractional):
Tb 0.0000 0.0000 0.0000  3 Pm 3.43-3.66, 6 Tb 3.56-3.83, 4 Sm 3.66
Tb 0.5000 0.0000 0.3564  3 Sm 3.43-3.66, 6 Tb 3.56-3.83, 4 Pm 3.66
Pm 0.0000 0.0000 0.7413  2 Sm 3.27, 5 Tb 3.43-3.66, 2 Pm 3.56
Sm 0.5000 0.0000 0.6151  2 Pm 3.27, 5 Tb 3.43-3.66, 2 Sm 3.56

=====

Relative to the most stable one, in kJ/mol of atoms, the structures come out at run P 1.3; run Q 0.0; run R 3.6.

=====

Run P
Here is a relaxed structure of TbPm3Sm6 from Alexandria via LeMat-Bulk. Energies are from PBE-GGA.

## Properties
calculated volume	699	Å³ per cell

abc: 11.4693 7.0631 8.8318
angles: 90.00 102.43 90.00
Last column: nearest neighbours and their distance in Å.
Space group C2/m (No. 12)
Symmetry-distinct sites (fractional):
Tb 0.0000 0.0000 0.0000  10 Sm 3.87-3.99
Pm 0.0000 0.0000 0.5000  4 Sm 3.51, 4 Pm 3.86
Pm 0.0376 0.5000 0.3419  1 Pm 3.09, 3 Sm 3.21-3.32
Sm 0.1612 0.5000 0.9927  2 Pm 3.32-3.66, 4 Sm 3.38-3.43
Sm 0.2445 0.2725 0.6896  4 Sm 3.21-3.43, 3 Pm 3.21-3.57

=====

Run Q
Here is a relaxed structure of TbPm3Sm6 from Alexandria via LeMat-Bulk. Energies are from PBE-GGA.

## Properties
calculated volume	1362	Å³ per cell

abc: 10.9789 19.2105 6.4556
angles: 90.00 90.00 90.00
Last column: nearest neighbours and their distance in Å.
Space group Cmc2_1 (No. 36)
Symmetry-distinct sites (fractional):
Tb 0.0000 0.1922 0.0000  2 Pm 3.28, 6 Sm 3.34-3.60
Pm 0.0000 0.3853 0.9620  7 Sm 3.48-3.85, 2 Pm 3.65, 1 Tb 3.72
Pm 0.1749 0.1161 0.3445  1 Tb 3.28, 6 Sm 3.33-3.57, 1 Pm 3.65
Sm 0.0000 0.0358 0.7441  1 Tb 3.43, 4 Sm 3.51-3.84, 4 Pm 3.55-3.57
Sm 0.0000 0.2758 0.5326  4 Sm 3.17-3.48, 1 Tb 3.42, 1 Pm 3.48
Sm 0.1697 0.4575 0.4379  3 Pm 3.43-3.55, 5 Sm 3.48-3.84
Sm 0.2349 0.2914 0.2520  3 Sm 3.17-3.48, 2 Pm 3.33-3.48, 1 Tb 3.34

=====

Relative to the most stable one, in kJ/mol of atoms, the structures come out at run P 12.5; run Q 0.0.

=====

Run P
Here is a relaxed structure of TbPm6Sm3 from Alexandria via LeMat-Bulk. Energies are from PBE-GGA.

## Properties
calculated volume	1367	Å³ per cell

abc: 10.9860 19.2757 6.4555
angles: 90.00 90.00 90.00
Last column: nearest neighbours and their distance in Å.
Space group Cmc2_1 (No. 36)
Symmetry-distinct sites (fractional):
Tb 0.0000 0.1925 0.0000  2 Sm 3.29, 6 Pm 3.34-3.60
Pm 0.0000 0.0352 0.7488  1 Tb 3.44, 4 Pm 3.50-3.84, 4 Sm 3.55-3.58
Pm 0.0000 0.2776 0.5354  4 Pm 3.16-3.51, 1 Tb 3.42, 1 Sm 3.47
Pm 0.1697 0.4584 0.4408  4 Sm 3.45-3.85, 5 Pm 3.50-3.84
Pm 0.2341 0.2915 0.2552  3 Pm 3.16-3.51, 2 Sm 3.33-3.49, 1 Tb 3.34
Sm 0.0000 0.3845 0.9676  7 Pm 3.47-3.85, 2 Sm 3.66, 1 Tb 3.71
Sm 0.1741 0.1165 0.3475  1 Tb 3.29, 6 Pm 3.33-3.58, 1 Sm 3.66

=====

Run Q
Here is a relaxed structure of TbPm6Sm3 from Alexandria via LeMat-Bulk. Energies are from PBE-GGA.

## Properties
calculated volume	1034	Å³ per cell

abc: 10.0096 10.0096 11.9162
angles: 90.00 90.00 120.00
Last column: nearest neighbours and their distance in Å.
Space group R-3 (No. 148, hexagonal axes)
Symmetry-distinct sites (fractional):
Tb 0.0000 0.0000 0.0000  2 Sm 2.98
Pm 0.0010 0.3276 0.7503  2 Sm 3.27-3.52, 1 Tb 3.51
Sm 0.0000 0.0000 0.2503  1 Sm 2.98, 1 Tb 2.98, 3 Pm 3.27
Sm 0.0000 0.0000 0.5000  2 Sm 2.98

=====

Relative to the most stable one, in kJ/mol of atoms, the structures come out at run P 0.0; run Q 9.8.

=====

Run P
Here is a relaxed structure of Tb3Pm3Sm from Alexandria via LeMat-Bulk. Energies are from PBE-GGA.

## Properties
calculated volume	1458	Å³ per cell

abc: 8.7473 8.7473 21.9955
angles: 90.00 90.00 120.00
Last column: nearest neighbours and their distance in Å.
Space group R-3 (No. 148, hexagonal axes)
Symmetry-distinct sites (fractional):
Tb 0.0040 0.7711 0.0584  4 Tb 3.27-3.50, 4 Pm 3.33-3.65, 1 Sm 3.57
Pm 0.0496 0.6016 0.8815  4 Tb 3.33-3.65, 2 Pm 3.65, 1 Sm 3.66
Sm 0.0000 0.0000 0.3462  6 Tb 3.57-3.81, 6 Pm 3.66-3.78

=====

Run Q
Here is a relaxed structure of Tb3Pm3Sm from Alexandria via LeMat-Bulk. Energies are from PBE-GGA.

## Properties
calculated volume	715	Å³ per cell

abc: 10.0081 10.0081 8.2385
angles: 90.00 90.00 120.00
Last column: nearest neighbours and their distance in Å.
Space group R3m (No. 160, hexagonal axes)
Symmetry-distinct sites (fractional):
Tb 0.1992 0.3984 0.0000  2 Sm 3.26-3.48, 5 Pm 3.33-3.59
Pm 0.2132 0.4263 0.4295  1 Sm 3.18, 3 Tb 3.33-3.55
Sm 0.0000 0.0000 0.0551  3 Pm 3.18, 6 Tb 3.26-3.48

=====

Relative to the most stable one, in kJ/mol of atoms, the structures come out at run P 0.0; run Q 2.2.

=====

Run P
Here is a relaxed structure of Tb3PmSm from Alexandria via LeMat-Bulk. Energies are from PBE-GGA.

## Properties
calculated volume	332	Å³ per cell

abc: 6.3122 6.8235 8.5495
angles: 103.00 111.65 90.04
Last column: nearest neighbours and their distance in Å.
Space group P-1 (No. 2)
Symmetry-distinct sites (fractional):
Tb 0.0152 0.4497 0.1979  6 Tb 3.54-3.67, 3 Sm 3.57-3.64, 3 Pm 3.59-3.66
Tb 0.2158 0.8491 0.6012  5 Tb 3.55-3.67, 4 Pm 3.57-3.67, 3 Sm 3.58-3.66
Tb 0.4177 0.2505 0.0010  7 Tb 3.55-3.66, 2 Pm 3.56-3.65, 3 Sm 3.57-3.66
Pm 0.3818 0.3492 0.6003  9 Tb 3.56-3.67, 2 Sm 3.58-3.65, 1 Pm 3.59
Sm 0.1820 0.9506 0.2003  1 Sm 3.56, 9 Tb 3.57-3.66, 2 Pm 3.58-3.65

=====

Run Q
Here is a relaxed structure of Tb3PmSm from Alexandria via LeMat-Bulk. Energies are from PBE-GGA.

## Properties
calculated volume	358	Å³ per cell

abc: 3.6286 11.6925 8.6276
angles: 90.00 102.10 90.00
Last column: nearest neighbours and their distance in Å.
Space group P2_1/m (No. 11)
Symmetry-distinct sites (fractional):
Tb 0.1506 0.2500 0.2994  2 Pm 3.28, 2 Sm 3.32, 6 Tb 3.43-3.63
Tb 0.3442 0.5014 0.6892  6 Tb 3.43-3.67, 2 Pm 3.50, 1 Sm 3.77
Pm 0.1881 0.7500 0.3766  6 Tb 3.28-3.50, 2 Sm 3.43-3.44, 2 Pm 3.63
Sm 0.4860 0.2500 0.9692  2 Tb 3.32, 2 Pm 3.43-3.44, 2 Sm 3.63

=====

Relative to the most stable one, in kJ/mol of atoms, the structures come out at run P 0.0; run Q 27.7.

=====

Run P
Here is a relaxed structure of Tb2Pm2Sm5 from Alexandria via LeMat-Bulk. Energies are from PBE-GGA.

## Properties
calculated volume	610	Å³ per cell

abc: 19.4400 3.5450 8.9593
angles: 90.00 98.94 90.00
Last column: nearest neighbours and their distance in Å.
Space group C2/m (No. 12)
Symmetry-distinct sites (fractional):
Tb 0.1760 0.0000 0.0154  5 Sm 3.40-3.60, 4 Tb 3.43-3.55, 2 Pm 3.74
Pm 0.0692 0.5000 0.6920  2 Pm 3.55, 8 Sm 3.62-3.70, 2 Tb 3.74
Sm 0.0000 0.0000 0.0000  2 Tb 3.40, 4 Sm 3.47-3.55, 4 Pm 3.70
Sm 0.0999 0.0000 0.3564  6 Sm 3.47-3.71, 1 Tb 3.60, 4 Pm 3.62-3.70
Sm 0.2344 0.0000 0.6673  3 Tb 3.48-3.57, 7 Sm 3.51-3.71, 2 Pm 3.70

=====

Run Q
Here is a relaxed structure of Tb2Pm2Sm5 from Alexandria via LeMat-Bulk. Energies are from PBE-GGA.

## Properties
calculated volume	1221	Å³ per cell

abc: 14.9909 11.9262 6.8322
angles: 90.00 90.00 90.00
Last column: nearest neighbours and their distance in Å.
Space group Ima2 (No. 46)
Symmetry-distinct sites (fractional):
Tb 0.0000 0.0000 0.0000  4 Sm 3.33-3.67, 2 Pm 3.73
Tb 0.2500 0.0084 0.9281  4 Sm 3.43-3.65, 2 Pm 3.64, 2 Tb 3.78
Pm 0.1266 0.0024 0.4698  4 Sm 3.36-3.61, 2 Tb 3.64-3.73, 1 Pm 3.70
Sm 0.0524 0.7490 0.8201  4 Sm 3.17-3.42, 1 Tb 3.33, 1 Pm 3.36
Sm 0.1433 0.2349 0.1461  4 Sm 3.17-3.44, 1 Pm 3.37, 1 Tb 3.48
Sm 0.2500 0.7425 0.1209  6 Sm 3.26-3.61, 1 Tb 3.43, 2 Pm 3.61

=====

Relative to the most stable one, in kJ/mol of atoms, the structures come out at run P 0.0; run Q 10.3.